1.
Density functional theory data (PBE) for crystalline KSbO at its relaxed geometry.

Calculated values
offset from the most stable computed form = 0.02 eV per formula unit
DOS(E_F) = 0.017 states/eV per atom
theoretical density = 3.9 g/cm3
raw formation energy = -1051 meV per atom

a = 4.937 Å, b = 5.258 Å, c = 5.831 Å
α = 90.00°, β = 90.00°, γ = 90.00°
Space group Pma2 (No. 28)
Asymmetric unit:
K 0.250 0.232 0.000
Sb 0.250 0.688 0.486
O 0.250 0.733 0.154

=====

2.
Density functional theory data (PBE) for crystalline Mn2CrRuN at its relaxed geometry.

Calculated values
DOS(E_F) = 1.298 states/eV per atom
theoretical density = 8.6 g/cm3
raw formation energy = -117 meV per atom

a = 3.746 Å, b = 3.746 Å, c = 3.825 Å
α = 90.00°, β = 90.00°, γ = 90.00°
Space group P4/mmm (No. 123)
Asymmetric unit:
Mn 0.000 0.500 0.000
Cr 0.000 0.000 0.500
Ru 0.500 0.500 0.500
N 0.000 0.000 0.000

=====

3.
Density functional theory data (PBE) for crystalline SiOs2Br at its relaxed geometry.

Calculated values
offset from the most stable computed form = 1.48 eV per formula unit
DOS(E_F) = 0.991 states/eV per atom
theoretical density = 11.4 g/cm3
raw formation energy = 836 meV per atom

a = 2.788 Å, b = 4.904 Å, c = 10.396 Å
α = 90.00°, β = 90.00°, γ = 90.00°
Space group Cmm2 (No. 35)
Asymmetric unit:
Si 0.000 0.000 0.000
Os 0.000 0.000 0.585
Os 0.000 0.500 0.795
Br 0.000 0.500 0.340

=====

4.
Density functional theory data (PBE) for crystalline Th2Co12Si3Os at its relaxed geometry.

Calculated values
DOS(E_F) = 1.188 states/eV per atom
theoretical density = 9.2 g/cm3
raw formation energy = 102 meV per atom

a = 5.9794 Å, b = 5.9794 Å, c = 25.3419 Å
α = 90.00°, β = 90.00°, γ = 120.00°
Space group R-3m (No. 166, hexagonal axes)
Asymmetric unit:
Th 0.0000 0.0000 0.1498
Co 0.0433 0.5216 0.0929
Co 0.0650 0.5325 0.6210
Si 0.0000 0.5000 0.0000
Os 0.0000 0.0000 0.5000

=====

What is the formula in the second record? Mn2CrRuN

=====

Which formula does entry 2 have? Mn2CrRuN

=====

What is the formula in the first record? KSbO